Crystalline NaMnAsO4 at its relaxed geometry. Source: Alexandria, functional PBE+U.

Cell lengths 11.025, 6.474, 5.250 Å; angles 90.00, 90.00, 90.00 degrees
Space group Pnma (No. 62)
Asymmetric unit:
Na  0.000  0.000  0.000 x4
Mn  0.219  0.250  0.497 x4
As  0.104  0.750  0.444 x4
O  0.043  0.250  0.671 x4
O  0.111  0.750  0.769 x4
O  0.177  0.543  0.297 x8

## Properties
The uncorrected energy is -6.385 eV per atom. The total magnetization comes out at 20.00 μB per cell. The value obtained for the distance to the lowest polymorph of the same formula is 0.000 eV/atom.